# 1
First-principles (PBE) data for Ce2PrSmSb5 after structural relaxation, as listed in Alexandria via LeMat-Bulk.

Crystal system: tetragonal

Cell lengths 5.3664, 5.3664, 11.8415 Å; angles 90.00, 90.00, 90.00 degrees
Closest atoms and distances in Å follow each position.
Space group P4/mmm (No. 123)
Unique sites:
1 Ce 0.0000 0.0000 0.2172  5 Sb 3.35-3.72
2 Pr 0.5000 0.5000 0.5000  2 Sb 2.96
3 Sm 0.5000 0.5000 0.0000  6 Sb 2.68-2.97
4 Sb 0.0000 0.0000 0.5000  2 Ce 3.35
5 Sb 0.0000 0.5000 0.0000  2 Sm 2.68
6 Sb 0.5000 0.5000 0.2504  1 Pr 2.96, 1 Sm 2.97

***

# 2
First-principles (PBE) data for Mg2TaP after structural relaxation, as listed in Alexandria via LeMat-Bulk.

Energy of formation (meV per atom): -43
Crystal system: orthorhombic

Cell lengths 3.5386, 4.8685, 8.7381 Å; angles 90.00, 90.00, 90.00 degrees
Closest atoms and distances in Å follow each position.
Space group Cmm2 (No. 35)
Unique sites:
1 Mg 0.0000 0.0000 0.0000  2 Ta 2.97, 6 Mg 3.01-3.11
2 Mg 0.0000 0.5000 0.2928  2 P 2.74, 4 Mg 3.01
3 Ta 0.0000 0.5000 0.7275  2 P 2.46
4 P 0.0000 0.0000 0.5321  2 Ta 2.46, 2 Mg 2.74

***

# 3
First-principles (PBE) data for SrLiMo after structural relaxation, as listed in Alexandria via LeMat-Bulk.

Energy of formation (meV per atom): 443
Crystal system: monoclinic
Excess energy over the best structure of this formula in the dataset (eV/f.u.): 0.20

Cell lengths 11.9928, 3.5354, 7.6312 Å; angles 90.00, 103.54, 90.00 degrees
Closest atoms and distances in Å follow each position.
Space group C2/m (No. 12)
Unique sites:
1 Sr 0.0096 0.0000 0.2429  3 Li 3.32-3.43, 5 Mo 3.47-3.63, 3 Sr 3.54-3.66
2 Li 0.2059 0.5000 0.6371  3 Mo 2.94-3.20, 2 Li 3.11
3 Mo 0.2018 0.5000 0.0548  2 Mo 2.37

***

# 4
First-principles (PBE) data for Pm8NdIn6 after structural relaxation, as listed in Alexandria via LeMat-Bulk.

Energy of formation (meV per atom): -241
Crystal system: trigonal

Cell lengths 9.2392, 9.2392, 19.8448 Å; angles 90.00, 90.00, 120.00 degrees
Closest atoms and distances in Å follow each position.
Space group R-3 (No. 148, hexagonal axes)
Unique sites:
1 Pm 0.0000 0.0000 0.1668  6 In 3.26
2 Pm 0.9999 0.3329 0.3847  5 In 3.23-3.38
3 Nd 0.0000 0.0000 0.5000  6 In 3.28
4 In 0.0001 0.3346 0.5552  7 Pm 3.23-3.38, 1 Nd 3.28

***

# 5
First-principles (PBE) data for VAgPb after structural relaxation, as listed in Alexandria via LeMat-Bulk.

Energy of formation (meV per atom): 406
Crystal system: monoclinic

Cell lengths 10.2570, 4.6687, 7.2140 Å; angles 90.00, 134.68, 90.00 degrees
Closest atoms and distances in Å follow each position.
Space group Cm (No. 8)
Unique sites:
1 V 0.0000 0.2115 0.0000  1 V 1.98
2 Ag 0.1328 0.5000 0.4826  5 Pb 3.01-3.33, 4 V 3.02-3.05, 2 Ag 3.04
3 Ag 0.3668 0.5000 0.2347  4 V 2.99-3.14, 5 Pb 3.00-3.26, 2 Ag 3.04
4 Pb 0.1956 0.0000 0.8691  4 V 2.88-2.92, 2 Ag 3.00
5 Pb 0.3288 0.0000 0.5045  4 V 2.89-2.97, 3 Ag 3.01-3.23

***

# 6
First-principles (PBE) data for AcMg2Ag8 after structural relaxation, as listed in Alexandria via LeMat-Bulk.

Energy of formation (meV per atom): 146
Crystal system: tetragonal

Cell lengths 5.4818, 5.4818, 9.5165 Å; angles 90.00, 90.00, 90.00 degrees
Closest atoms and distances in Å follow each position.
Space group P4/mmm (No. 123)
Unique sites:
1 Ac 0.0000 0.0000 0.0000  8 Ag 3.28
2 Mg 0.0000 0.5000 0.5000  8 Ag 2.87
3 Ag 0.2524 0.2524 0.2769  4 Ag 2.72-2.77, 2 Mg 2.87

***

# 7
First-principles (PBE) data for Dy2Er2Mg15 after structural relaxation, as listed in Alexandria via LeMat-Bulk.

Energy of formation (meV per atom): 32
Crystal system: trigonal

Cell lengths 10.4335, 10.4335, 15.2888 Å; angles 90.00, 90.00, 120.00 degrees
Closest atoms and distances in Å follow each position.
Space group R-3m (No. 166, hexagonal axes)
Unique sites:
1 Dy 0.0000 0.0000 0.1721  1 Er 3.48, 15 Mg 3.67-3.89
2 Er 0.0000 0.0000 0.3996  1 Er 3.07, 6 Mg 3.18-3.36
3 Mg 0.0000 0.2989 0.5000  8 Mg 3.00-3.27
4 Mg 0.0000 0.5000 0.0000  8 Mg 3.00-3.07, 2 Er 3.18
5 Mg 0.0095 0.5047 0.6469  8 Mg 2.99-3.27

***

# 8
First-principles (PBE) data for TbSm6Dy2 after structural relaxation, as listed in Alexandria via LeMat-Bulk.

Energy of formation (meV per atom): 225
Crystal system: monoclinic
Excess energy over the best structure of this formula in the dataset (eV/f.u.): 1.89

Cell lengths 13.1660, 7.6005, 6.0778 Å; angles 90.00, 90.02, 90.00 degrees
Closest atoms and distances in Å follow each position.
Space group C2/m (No. 12)
Unique sites:
1 Tb 0.0000 0.0000 0.0000  6 Sm 3.04
2 Sm 0.0948 0.2828 0.7121  1 Tb 3.04, 2 Sm 3.29-3.30
3 Sm 0.1887 0.0000 0.2880  1 Tb 3.04, 2 Sm 3.29
4 Dy 0.1663 0.5000 0.2170  12 Sm 3.56-3.84

***

# 9
First-principles (PBE) data for SmNbAl2 after structural relaxation, as listed in Alexandria via LeMat-Bulk.

Energy of formation (meV per atom): 9
Crystal system: trigonal
Excess energy over the best structure of this formula in the dataset (eV/f.u.): 0.97

Cell lengths 3.0888, 3.0888, 30.0643 Å; angles 90.00, 90.00, 120.00 degrees
Closest atoms and distances in Å follow each position.
Space group R-3m (No. 166, hexagonal axes)
Unique sites:
1 Sm 0.0000 0.0000 0.0000  6 Sm 3.09, 6 Al 3.30
2 Nb 0.0000 0.0000 0.5000  6 Al 2.86, 6 Nb 3.09
3 Al 0.0000 0.0000 0.2410  3 Nb 2.86, 6 Al 3.09

***

# 10
First-principles (PBE) data for GaGeN2O after structural relaxation, as listed in Alexandria via LeMat-Bulk.

Crystal system: tetragonal

Cell lengths 3.8713, 3.8713, 3.6815 Å; angles 90.00, 90.00, 90.00 degrees
Closest atoms and distances in Å follow each position.
Space group P4/mmm (No. 123)
Unique sites:
1 Ga 0.0000 0.0000 0.0000  8 N 2.67, 4 O 2.74
2 Ge 0.5000 0.5000 0.5000  2 O 1.84, 4 N 1.94
3 N 0.0000 0.5000 0.5000  2 Ge 1.94
4 O 0.5000 0.5000 0.0000  2 Ge 1.84

***

# 11
First-principles (PBE) data for InSi2Sb after structural relaxation, as listed in Alexandria via LeMat-Bulk.

Crystal system: orthorhombic
Excess energy over the best structure of this formula in the dataset (eV/f.u.): 1.17

Cell lengths 3.7813, 5.1148, 8.9903 Å; angles 90.00, 90.00, 90.00 degrees
Closest atoms and distances in Å follow each position.
Space group Immm (No. 71)
Unique sites:
1 In 0.0000 0.0000 0.0000  4 Si 2.99, 4 Sb 3.18
2 Si 0.0000 0.5000 0.2426  2 Sb 2.89, 2 In 2.99, 4 Si 3.18
3 Sb 0.0000 0.0000 0.5000  4 Si 2.89, 4 In 3.18

***

# 12
First-principles (PBE) data for CeTlGaS4 after structural relaxation, as listed in Alexandria via LeMat-Bulk.

Crystal system: monoclinic

Cell lengths 6.5517, 6.5611, 8.8285 Å; angles 90.00, 107.63, 90.00 degrees
Closest atoms and distances in Å follow each position.
Space group P2_1/m (No. 11)
Unique sites:
1 Ce 0.2332 0.2500 0.0559  6 S 2.74-2.84
2 Tl 0.2647 0.2500 0.5647  4 S 3.10-3.47
3 Ga 0.2282 0.7500 0.8266  4 S 2.25-2.29
4 S 0.0105 0.5120 0.2053  1 Ga 2.28
5 S 0.4351 0.7500 0.6644  1 Ga 2.25
6 S 0.4466 0.7500 0.0843  1 Ga 2.29

***

Calculated uncorrected energy, -4.8997, -5.1563, -4.3657, -4.1876, -4.8198, -2.5914, -2.1915, -4.4580, -5.5593, -5.1985, -3.8938, -5.0433 eV per atom (same order as the records).